No. 1
First-principles (PBE with a Hubbard U) data for a relaxed RbCrF4 crystal, as listed in Alexandria via LeMat-Bulk.

Lattice parameters (Å, degrees): 5.302 6.359 7.152 116.40 100.65 90.00
Last column: magnetic moment on the atom in μB.
Atoms (fractional coordinates):
F 0.000 0.298 0.000  0.00
F 0.453 0.596 0.794  0.00
F 0.547 0.802 0.206  0.00
F 0.453 0.198 0.794  0.00
F 0.815 0.309 0.618  -0.01
F 0.185 0.691 0.382  -0.01
F 0.000 0.702 0.000  0.00
F 0.547 0.404 0.206  0.00
Rb 0.782 0.810 0.620  0.00
Rb 0.218 0.190 0.380  0.00
Cr 0.282 0.559 0.118  2.94
Cr 0.718 0.441 0.882  2.94

Results
Space group: C2/m (12)
Calculated total energy: -5.335 eV per atom



No. 2
First-principles (PBE with a Hubbard U) data for a relaxed RbCr2ReF crystal, as listed in Alexandria via LeMat-Bulk.

Lattice parameters (Å, degrees): 5.228 4.201 5.228 90.00 90.00 90.00
Last column: magnetic moment on the atom in μB.
Atoms (fractional coordinates):
Cr 0.500 0.000 0.000  4.39
Cr 0.000 0.000 0.500  4.41
F 0.000 0.000 0.000  0.01
Rb 0.500 0.500 0.500  0.07
Re 0.000 0.500 0.000  -2.11

Results
Space group: P4/mmm (123)
Calculated total energy: -5.075 eV per atom



No. 3
First-principles (PBE with a Hubbard U) data for a relaxed Rb2CrRhF6 crystal, as listed in Alexandria via LeMat-Bulk.

Lattice parameters (Å, degrees): 6.116 6.116 6.114 59.99 59.99 90.00
Last column: magnetic moment on the atom in μB.
Atoms (fractional coordinates):
F 0.272 0.272 0.000  0.01
F 0.728 0.728 0.000  0.01
F 0.729 0.729 0.543  0.01
F 0.271 0.271 0.457  0.01
F 0.728 0.272 0.000  0.01
F 0.272 0.728 0.000  0.01
Cr 0.500 0.500 0.000  3.13
Rb 0.750 0.250 0.500  0.00
Rb 0.250 0.750 0.500  0.00
Rh 0.000 0.000 0.000  1.63

Results
Space group: Fm-3m (225)
Calculated total energy: -5.083 eV per atom



No. 4
First-principles (PBE with a Hubbard U) data for a relaxed RbCrRhF6 crystal, as listed in Alexandria via LeMat-Bulk.

Lattice parameters (Å, degrees): 7.645 7.157 7.492 118.53 120.68 90.00
Last column: magnetic moment on the atom in μB.
Atoms (fractional coordinates):
F 0.148 0.320 0.752  0.03
F 0.604 0.932 0.752  0.03
F 0.589 0.339 0.177  -0.01
F 0.789 0.039 0.579  0.00
F 0.852 0.068 0.248  0.03
F 0.604 0.320 0.752  0.03
F 0.852 0.680 0.248  0.03
F 0.411 0.661 0.823  -0.01
F 0.396 0.680 0.248  0.03
F 0.211 0.961 0.421  0.00
F 0.148 0.932 0.752  0.03
F 0.396 0.068 0.248  0.03
Rh 0.500 0.000 0.000  0.80
Rh 0.500 0.500 0.000  0.80
Cr 0.500 0.000 0.500  2.99
Cr 0.000 0.000 0.500  2.99
Rb 0.884 0.634 0.768  0.00
Rb 0.116 0.366 0.232  0.00

Results
Space group: Imma (74)
Calculated total energy: -5.245 eV per atom



No. 5
First-principles (PBE with a Hubbard U) data for a relaxed Rb2CrRuF6 crystal, as listed in Alexandria via LeMat-Bulk.

Lattice parameters (Å, degrees): 6.107 6.107 6.009 59.46 59.46 90.00
Last column: magnetic moment on the atom in μB.
Atoms (fractional coordinates):
Ru 0.000 0.000 0.000  0.22
F 0.247 0.753 0.000  0.01
F 0.753 0.247 0.000  0.01
F 0.742 0.742 0.517  0.01
F 0.258 0.258 0.483  0.01
F 0.247 0.247 0.000  0.01
F 0.753 0.753 0.000  0.01
Cr 0.500 0.500 0.000  3.77
Rb 0.750 0.250 0.500  0.00
Rb 0.250 0.750 0.500  0.00

Results
Space group: I4/mmm (139)
Calculated total energy: -5.184 eV per atom



No. 6
First-principles (PBE with a Hubbard U) data for a relaxed RbCrSbF6 crystal, as listed in Alexandria via LeMat-Bulk.

Lattice parameters (Å, degrees): 6.071 5.785 5.260 89.89 90.48 64.72
Last column: magnetic moment on the atom in μB.
Atoms (fractional coordinates):
F 0.415 0.986 0.715  0.00
F 0.728 0.961 0.354  0.00
F 0.099 0.514 0.737  0.01
F 0.301 0.678 0.310  0.01
F 0.574 0.408 0.676  0.00
F 0.927 0.415 0.309  0.00
Sb 0.320 0.334 0.450  0.01
Rb 0.977 0.017 0.941  0.00
Cr 0.659 0.688 0.509  3.80

Results
Space group: P1 (1)
Calculated total energy: -5.181 eV per atom



No. 7
First-principles (PBE with a Hubbard U) data for a relaxed Rb2CrSbF6 crystal, as listed in Alexandria via LeMat-Bulk.

Lattice parameters (Å, degrees): 6.396 6.396 6.458 60.32 60.32 90.00
Last column: magnetic moment on the atom in μB.
Atoms (fractional coordinates):
F 0.728 0.272 0.000  0.01
F 0.728 0.728 0.000  0.01
F 0.761 0.761 0.478  0.02
F 0.272 0.272 0.000  0.01
F 0.272 0.728 0.000  0.01
F 0.239 0.239 0.522  0.02
Cr 0.500 0.500 0.000  3.96
Rb 0.250 0.750 0.500  0.01
Rb 0.750 0.250 0.500  0.01
Sb 0.000 0.000 0.000  0.34

Results
Space group: I4/mmm (139)
Calculated total energy: -4.812 eV per atom



No. 8
First-principles (PBE with a Hubbard U) data for a relaxed Rb2CrSeF6 crystal, as listed in Alexandria via LeMat-Bulk.

Lattice parameters (Å, degrees): 6.926 6.926 6.339 56.89 56.89 90.00
Last column: magnetic moment on the atom in μB.
Atoms (fractional coordinates):
F 0.750 0.750 0.500  0.03
F 0.697 0.303 0.000  0.02
F 0.303 0.303 0.000  0.02
F 0.303 0.697 0.000  0.02
F 0.250 0.250 0.500  0.03
F 0.697 0.697 0.000  0.02
Cr 0.500 0.500 0.000  2.94
Rb 0.750 0.250 0.500  0.00
Rb 0.250 0.750 0.500  0.00
Se 0.000 0.000 0.000  0.52

Results
Space group: I4/mmm (139)
Calculated total energy: -4.665 eV per atom



Question: Which value of calculated total energy does entry 8 give?
Answer: -4.665 eV per atom